Entry 1:
The following is a DFT calculation (PBE) of LaCeSm2Sb4 after structural relaxation.

The structure in POSCAR format:
```
LaCeSm2Sb4
1.0
7.820 0.000 0.000
0.000 4.521 0.000
-2.610 0.000 7.385
La Ce Sm Sb
1 1 2 4
direct
0.000 0.000 0.000
0.000 0.500 0.500
0.500 0.000 0.500
0.500 0.500 0.000
0.253 0.000 0.747
0.255 0.500 0.255
0.745 0.500 0.745
0.747 0.000 0.253
```

- raw formation energy (eV per formula unit) = -9.35
- density of states at the Fermi level (states/eV per cell) = 6.93
- space-group type = No. 10

***

Entry 2:
The following is a DFT calculation (PBE) of LaCe2Sm3Sb6 after structural relaxation.

The structure in POSCAR format:
```
LaCe2Sm3Sb6
1.0
3.906 -6.764 0.000
3.906 6.764 0.000
-2.604 0.000 7.356
La Ce Sm Sb
1 2 3 6
direct
0.000 0.000 0.000
0.333 0.667 0.000
0.667 0.333 0.000
0.165 0.835 0.500
0.500 0.500 0.500
0.835 0.165 0.500
0.085 0.422 0.253
0.254 0.254 0.748
0.422 0.085 0.253
0.578 0.915 0.747
0.746 0.746 0.252
0.915 0.578 0.747
```

- raw formation energy (eV per formula unit) = -13.82
- density of states at the Fermi level (states/eV per cell) = 13.32
- space-group type = No. 12

***

Entry 3:
The following is a DFT calculation (PBE) of La2CeSmSb4 after structural relaxation.

The structure in POSCAR format:
```
La2CeSmSb4
1.0
7.888 0.000 0.000
0.000 4.557 0.000
-2.629 0.000 7.447
La Ce Sm Sb
2 1 1 4
direct
0.000 0.000 0.000
0.500 0.500 0.000
0.000 0.500 0.500
0.500 0.000 0.500
0.247 0.000 0.742
0.252 0.500 0.258
0.748 0.500 0.742
0.753 0.000 0.258
```

- raw formation energy (eV per formula unit) = -9.56
- density of states at the Fermi level (states/eV per cell) = 6.85
- space-group type = No. 10

***

Entry 4:
The following is a DFT calculation (PBE) of LaTb2CeSb4 after structural relaxation.

The structure in POSCAR format:
```
LaTb2CeSb4
1.0
7.752 0.000 0.000
0.000 4.488 0.000
-2.594 0.000 7.334
La Tb Ce Sb
1 2 1 4
direct
0.000 0.000 0.000
0.500 0.000 0.500
0.500 0.500 0.000
0.000 0.500 0.500
0.257 0.000 0.749
0.259 0.500 0.257
0.741 0.500 0.743
0.743 0.000 0.251
```

- raw formation energy (eV per formula unit) = -9.22
- density of states at the Fermi level (states/eV per cell) = 7.04
- space-group type = No. 10

***

Entry 5:
The following is a DFT calculation (PBE) of La2TbCeSb4 after structural relaxation.

The structure in POSCAR format:
```
La2TbCeSb4
1.0
7.855 0.000 0.000
0.000 4.541 0.000
-2.620 0.000 7.419
La Tb Ce Sb
2 1 1 4
direct
0.000 0.000 0.000
0.500 0.500 0.000
0.000 0.500 0.500
0.500 0.000 0.500
0.245 0.000 0.739
0.251 0.500 0.260
0.749 0.500 0.740
0.755 0.000 0.261
```

- raw formation energy (eV per formula unit) = -9.48
- density of states at the Fermi level (states/eV per cell) = 6.90
- space-group type = No. 10

***

Entry 6:
The following is a DFT calculation (PBE) of LaCe3Th4Sb8 after structural relaxation.

The structure in POSCAR format:
```
LaCe3Th4Sb8
1.0
4.519 2.609 7.395
-4.519 2.609 7.395
0.000 -5.218 7.395
La Ce Th Sb
1 3 4 8
direct
0.000 0.000 0.000
0.000 0.500 0.500
0.500 0.000 0.500
0.500 0.500 0.000
0.000 0.000 0.500
0.000 0.500 0.000
0.500 0.000 0.000
0.500 0.500 0.500
0.250 0.250 0.250
0.252 0.252 0.748
0.252 0.748 0.252
0.252 0.748 0.748
0.748 0.252 0.252
0.748 0.252 0.748
0.748 0.748 0.252
0.750 0.750 0.750
```

- raw formation energy (eV per formula unit) = -16.34
- density of states at the Fermi level (states/eV per cell) = 26.93
- space-group type = No. 166

***

Entry 7:
The following is a DFT calculation (PBE) of LaCeTh2Sb4 after structural relaxation.

The structure in POSCAR format:
```
LaCeTh2Sb4
1.0
7.859 0.000 0.000
0.000 4.531 0.000
-2.615 0.000 7.413
La Ce Th Sb
1 1 2 4
direct
0.000 0.000 0.000
0.500 0.500 0.000
0.000 0.500 0.500
0.500 0.000 0.500
0.252 0.000 0.748
0.254 0.500 0.254
0.746 0.500 0.746
0.748 0.000 0.252
```

- raw formation energy (eV per formula unit) = -8.39
- density of states at the Fermi level (states/eV per cell) = 10.57
- space-group type = No. 10

***

Entry 8:
The following is a DFT calculation (PBE) of La3Ce2ThSb6 after structural relaxation.

The structure in POSCAR format:
```
La3Ce2ThSb6
1.0
3.951 -6.844 0.000
3.951 6.844 0.000
-2.635 0.000 7.467
La Ce Th Sb
3 2 1 6
direct
0.000 0.000 0.000
0.333 0.667 0.000
0.667 0.333 0.000
0.167 0.833 0.500
0.833 0.167 0.500
0.500 0.500 0.500
0.086 0.419 0.257
0.248 0.248 0.743
0.419 0.086 0.257
0.581 0.914 0.743
0.752 0.752 0.257
0.914 0.581 0.743
```

- raw formation energy (eV per formula unit) = -13.82
- density of states at the Fermi level (states/eV per cell) = 15.72
- space-group type = No. 12